Record 1
A PBEsol-optimized structure of CrCS2Cl, computed with SCAN.

The structure in CIF format:
```
data_CrCS2Cl
_cell_length_a 4.145
_cell_length_b 4.145
_cell_length_c 4.104
_cell_angle_alpha 90.00
_cell_angle_beta 90.00
_cell_angle_gamma 90.00
_space_group_name_H-M_alt 'P 4/m m m'
_space_group_IT_number 123
_space_group_name_Hall '-P 4 2'
loop_
_atom_site_label
_atom_site_fract_x
_atom_site_fract_y
_atom_site_fract_z
_atom_site_occupancy
Cr1 0.000 0.000 0.000 1
C1 0.500 0.500 0.500 1
S1 0.000 0.500 0.500 1
Cl1 0.500 0.500 0.000 1
```

Formation energy from raw total energies in eV/atom: 1.00

Record 2
A PBEsol-optimized structure of CsOsC3Cl3O3, computed with SCAN.

The structure in CIF format:
```
data_CsOsC3Cl3O3
_cell_length_a 10.138
_cell_length_b 9.289
_cell_length_c 11.125
_cell_angle_alpha 90.00
_cell_angle_beta 91.83
_cell_angle_gamma 90.00
_space_group_name_H-M_alt 'P 1 21/c 1'
_space_group_IT_number 14
loop_
_space_group_symop_operation_xyz
'x,y,z'
'-x,-y,-z'
'-x,y+1/2,-z+1/2'
'x,-y+1/2,z+1/2'
loop_
_atom_site_label
_atom_site_fract_x
_atom_site_fract_y
_atom_site_fract_z
_atom_site_occupancy
Cs1 0.121 0.245 0.047 1
Os1 0.284 0.615 0.287 1
C1 0.263 0.683 0.784 1
C2 0.354 0.612 0.132 1
C3 0.453 0.628 0.361 1
Cl1 0.062 0.582 0.202 1
Cl2 0.188 0.609 0.483 1
Cl3 0.303 0.145 0.797 1
O1 0.252 0.559 0.785 1
O2 0.399 0.607 0.038 1
O3 0.443 0.134 0.093 1
```

Formation energy from raw total energies in eV/atom: -1.09

Record 3
A PBEsol-optimized structure of CsPCCl2, computed with SCAN.

The structure in CIF format:
```
data_CsPCCl2
_cell_length_a 5.801
_cell_length_b 5.801
_cell_length_c 3.457
_cell_angle_alpha 90.00
_cell_angle_beta 90.00
_cell_angle_gamma 90.00
_space_group_name_H-M_alt 'P 4/m m m'
_space_group_IT_number 123
_space_group_name_Hall '-P 4 2'
loop_
_atom_site_label
_atom_site_fract_x
_atom_site_fract_y
_atom_site_fract_z
_atom_site_occupancy
Cs1 0.000 0.000 0.000 1
P1 0.500 0.500 0.000 1
C1 0.500 0.500 0.500 1
Cl1 0.000 0.500 0.500 1
```

Formation energy from raw total energies in eV/atom: 0.18

Record 4
A PBEsol-optimized structure of CuCCl3, computed with SCAN.

The structure in CIF format:
```
data_CuCCl3
_cell_length_a 4.559
_cell_length_b 4.559
_cell_length_c 4.559
_cell_angle_alpha 90.00
_cell_angle_beta 90.00
_cell_angle_gamma 90.00
_space_group_name_H-M_alt 'P m -3 m'
_space_group_IT_number 221
_space_group_name_Hall '-P 4 2 3'
loop_
_atom_site_label
_atom_site_fract_x
_atom_site_fract_y
_atom_site_fract_z
_atom_site_occupancy
Cu1 0.000 0.000 0.000 1
C1 0.500 0.500 0.500 1
Cl1 0.000 0.000 0.500 1
```

Formation energy from raw total energies in eV/atom: 1.16

Record 5
A PBEsol-optimized structure of CuH8C2NCl3, computed with SCAN.

The structure in CIF format:
```
data_CuH8C2NCl3
_cell_length_a 17.224
_cell_length_b 8.616
_cell_length_c 11.610
_cell_angle_alpha 90.00
_cell_angle_beta 125.31
_cell_angle_gamma 90.00
_space_group_name_H-M_alt 'C 1 2/c 1'
_space_group_IT_number 15
loop_
_space_group_symop_operation_xyz
'x,y,z'
'-x,-y,-z'
'-x,y,-z+1/2'
'x,-y,z+1/2'
'x+1/2,y+1/2,z'
'-x+1/2,-y+1/2,-z'
'-x+1/2,y+1/2,-z+1/2'
'x+1/2,-y+1/2,z+1/2'
loop_
_atom_site_label
_atom_site_fract_x
_atom_site_fract_y
_atom_site_fract_z
_atom_site_occupancy
Cu1 0.032 0.121 0.420 1
H1 0.077 0.458 0.181 1
H2 0.112 0.346 0.858 1
H3 0.137 0.390 0.344 1
H4 0.156 0.298 0.756 1
H5 0.194 0.286 0.212 1
H6 0.215 0.108 0.633 1
H7 0.224 0.481 0.195 1
H8 0.236 0.375 0.933 1
C1 0.164 0.378 0.835 1
C2 0.217 0.401 0.262 1
N1 0.144 0.463 0.279 1
Cl1 0.048 0.136 0.977 1
Cl2 0.068 0.376 0.463 1
Cl3 0.122 0.094 0.336 1
```

Record 6
A PBEsol-optimized structure of CuH8C2NCl3, computed with SCAN.

The structure in CIF format:
```
data_CuH8C2NCl3
_cell_length_a 8.573
_cell_length_b 9.513
_cell_length_c 10.383
_cell_angle_alpha 72.84
_cell_angle_beta 68.05
_cell_angle_gamma 64.14
_space_group_name_H-M_alt 'P -1'
_space_group_IT_number 2
loop_
_space_group_symop_operation_xyz
'x,y,z'
'-x,-y,-z'
loop_
_atom_site_label
_atom_site_fract_x
_atom_site_fract_y
_atom_site_fract_z
_atom_site_occupancy
Cu1 0.083 0.148 0.429 1
Cu2 0.145 0.359 0.087 1
H1 0.072 0.689 0.258 1
H2 0.101 0.073 0.804 1
H3 0.176 0.999 0.960 1
H4 0.201 0.774 0.293 1
H5 0.209 0.522 0.439 1
H6 0.218 0.865 0.848 1
H7 0.275 0.253 0.747 1
H8 0.291 0.434 0.296 1
H9 0.292 0.677 0.140 1
H10 0.373 0.150 0.891 1
H11 0.405 0.002 0.664 1
H12 0.440 0.504 0.783 1
H13 0.468 0.626 0.613 1
H14 0.476 0.582 0.374 1
H15 0.482 0.841 0.287 1
H16 0.485 0.905 0.804 1
C1 0.207 0.984 0.851 1
C2 0.208 0.677 0.250 1
C3 0.387 0.152 0.781 1
C4 0.477 0.492 0.328 1
N1 0.290 0.525 0.334 1
N2 0.381 0.004 0.770 1
Cl1 0.046 0.587 0.643 1
Cl2 0.086 0.617 0.983 1
Cl3 0.186 0.883 0.520 1
Cl4 0.201 0.099 0.174 1
Cl5 0.298 0.178 0.479 1
Cl6 0.416 0.335 0.086 1
```

Record 7
A PBEsol-optimized structure of CuH18C4N10Cl2O2, computed with SCAN.

The structure in CIF format:
```
data_CuH18C4N10Cl2O2
_cell_length_a 6.678
_cell_length_b 9.375
_cell_length_c 12.417
_cell_angle_alpha 68.49
_cell_angle_beta 76.82
_cell_angle_gamma 76.68
_space_group_name_H-M_alt 'P -1'
_space_group_IT_number 2
loop_
_space_group_symop_operation_xyz
'x,y,z'
'-x,-y,-z'
loop_
_atom_site_label
_atom_site_fract_x
_atom_site_fract_y
_atom_site_fract_z
_atom_site_occupancy
Cu1 0.230 0.426 0.060 1
H1 0.127 0.681 0.314 1
H2 0.135 0.654 0.145 1
H3 0.161 0.140 0.648 1
H4 0.181 0.880 0.758 1
H5 0.184 0.519 0.434 1
H6 0.185 0.280 0.435 1
H7 0.185 0.722 0.950 1
H8 0.195 0.051 0.467 1
H9 0.197 0.134 0.170 1
H10 0.211 0.966 0.361 1
H11 0.257 0.994 0.874 1
H12 0.302 0.795 0.650 1
H13 0.357 0.560 0.682 1
H14 0.376 0.187 0.563 1
H15 0.395 0.199 0.982 1
H16 0.459 0.158 0.809 1
H17 0.474 0.891 0.846 1
H18 0.489 0.321 0.679 1
C1 0.162 0.476 0.286 1
C2 0.199 0.203 0.300 1
C3 0.276 0.645 0.818 1
C4 0.375 0.369 0.835 1
N1 0.132 0.564 0.355 1
N2 0.159 0.534 0.173 1
N3 0.183 0.064 0.383 1
N4 0.191 0.319 0.344 1
N5 0.221 0.229 0.187 1
N6 0.222 0.620 0.931 1
N7 0.278 0.788 0.737 1
N8 0.338 0.526 0.773 1
N9 0.340 0.315 0.949 1
N10 0.447 0.278 0.768 1
Cl1 0.032 0.927 0.188 1
Cl2 0.364 0.699 0.500 1
O1 0.243 0.152 0.569 1
O2 0.405 0.966 0.887 1
```

Record 8
A PBEsol-optimized structure of GeC2ClF, computed with SCAN.

The structure in CIF format:
```
data_GeC2ClF
_cell_length_a 3.914
_cell_length_b 3.914
_cell_length_c 4.972
_cell_angle_alpha 90.00
_cell_angle_beta 90.00
_cell_angle_gamma 90.00
_space_group_name_H-M_alt 'P 4/m m m'
_space_group_IT_number 123
_space_group_name_Hall '-P 4 2'
loop_
_atom_site_label
_atom_site_fract_x
_atom_site_fract_y
_atom_site_fract_z
_atom_site_occupancy
Ge1 0.000 0.000 0.000 1
C1 0.000 0.500 0.500 1
Cl1 0.500 0.500 0.000 1
F1 0.000 0.000 0.500 1
```

Formation energy from raw total energies in eV/atom: 2.24

Record 9
A PBEsol-optimized structure of HfCClF2, computed with SCAN.

The structure in CIF format:
```
data_HfCClF2
_cell_length_a 3.667
_cell_length_b 3.667
_cell_length_c 5.580
_cell_angle_alpha 90.00
_cell_angle_beta 90.00
_cell_angle_gamma 90.00
_space_group_name_H-M_alt 'P 4/m m m'
_space_group_IT_number 123
_space_group_name_Hall '-P 4 2'
loop_
_atom_site_label
_atom_site_fract_x
_atom_site_fract_y
_atom_site_fract_z
_atom_site_occupancy
Hf1 0.000 0.000 0.000 1
C1 0.500 0.500 0.000 1
Cl1 0.000 0.000 0.500 1
F1 0.000 0.500 0.500 1
```

Formation energy from raw total energies in eV/atom: 0.63

Record 10
A PBEsol-optimized structure of P2CClF, computed with SCAN.

The structure in CIF format:
```
data_P2CClF
_cell_length_a 3.999
_cell_length_b 3.999
_cell_length_c 5.160
_cell_angle_alpha 90.00
_cell_angle_beta 90.00
_cell_angle_gamma 90.00
_space_group_name_H-M_alt 'P 4/m m m'
_space_group_IT_number 123
_space_group_name_Hall '-P 4 2'
loop_
_atom_site_label
_atom_site_fract_x
_atom_site_fract_y
_atom_site_fract_z
_atom_site_occupancy
P1 0.000 0.500 0.000 1
C1 0.000 0.000 0.500 1
Cl1 0.500 0.500 0.500 1
F1 0.500 0.500 0.000 1
```

Formation energy from raw total energies in eV/atom: 1.88

Record 11
A PBEsol-optimized structure of FeH12C4NCl4, computed with SCAN.

The structure in CIF format:
```
data_FeH12C4NCl4
_cell_length_a 13.834
_cell_length_b 6.386
_cell_length_c 6.295
_cell_angle_alpha 90.00
_cell_angle_beta 90.00
_cell_angle_gamma 90.00
_space_group_name_H-M_alt 'P m a 2'
_space_group_IT_number 28
loop_
_space_group_symop_operation_xyz
'x,y,z'
'-x,-y,z'
'-x+1/2,y,z'
'x+1/2,-y,z'
loop_
_atom_site_label
_atom_site_fract_x
_atom_site_fract_y
_atom_site_fract_z
_atom_site_occupancy
Fe1 0.250 0.075 0.000 1
H1 0.038 0.276 0.165 1
H2 0.047 0.814 0.365 1
H3 0.066 0.311 0.636 1
H4 0.087 0.638 0.161 1
H5 0.103 0.582 0.634 1
H6 0.146 0.405 0.431 1
C1 0.025 0.682 0.263 1
C2 0.085 0.446 0.536 1
N1 0.000 0.500 0.400 1
Cl1 0.121 0.959 0.842 1
Cl2 0.250 0.419 0.996 1
Cl3 0.250 0.980 0.331 1
```

Record 12
A PBEsol-optimized structure of FeP2CCl, computed with SCAN.

The structure in CIF format:
```
data_FeP2CCl
_cell_length_a 4.164
_cell_length_b 4.164
_cell_length_c 4.699
_cell_angle_alpha 90.00
_cell_angle_beta 90.00
_cell_angle_gamma 90.00
_space_group_name_H-M_alt 'P 4/m m m'
_space_group_IT_number 123
_space_group_name_Hall '-P 4 2'
loop_
_atom_site_label
_atom_site_fract_x
_atom_site_fract_y
_atom_site_fract_z
_atom_site_occupancy
Fe1 0.000 0.000 0.000 1
P1 0.000 0.500 0.000 1
C1 0.500 0.500 0.500 1
Cl1 0.000 0.000 0.500 1
```

Formation energy from raw total energies in eV/atom: 1.65

Record 13
A PBEsol-optimized structure of FeCSCl2, computed with SCAN.

The structure in CIF format:
```
data_FeCSCl2
_cell_length_a 4.524
_cell_length_b 4.524
_cell_length_c 4.445
_cell_angle_alpha 90.00
_cell_angle_beta 90.00
_cell_angle_gamma 90.00
_space_group_name_H-M_alt 'P 4/m m m'
_space_group_IT_number 123
_space_group_name_Hall '-P 4 2'
loop_
_atom_site_label
_atom_site_fract_x
_atom_site_fract_y
_atom_site_fract_z
_atom_site_occupancy
Fe1 0.000 0.000 0.000 1
C1 0.500 0.500 0.500 1
S1 0.000 0.000 0.500 1
Cl1 0.000 0.500 0.000 1
```

Formation energy from raw total energies in eV/atom: 1.23

Record 14
A PBEsol-optimized structure of Mg2GaCCl, computed with SCAN.

The structure in CIF format:
```
data_Mg2GaCCl
_cell_length_a 4.400
_cell_length_b 4.400
_cell_length_c 4.501
_cell_angle_alpha 90.00
_cell_angle_beta 90.00
_cell_angle_gamma 90.00
_space_group_name_H-M_alt 'P 4/m m m'
_space_group_IT_number 123
_space_group_name_Hall '-P 4 2'
loop_
_atom_site_label
_atom_site_fract_x
_atom_site_fract_y
_atom_site_fract_z
_atom_site_occupancy
Mg1 0.000 0.500 0.000 1
Ga1 0.000 0.000 0.500 1
C1 0.000 0.000 0.000 1
Cl1 0.500 0.500 0.500 1
```

Formation energy from raw total energies in eV/atom: 0.03

Total DFT energy (no corrections) (computed, eV per cell): -50.69 -778.53 -73.38 -43.44 -822.28 -411.21 -511.56 -39.62 -84.70 -33.03 -301.47 -48.75 -47.68 -44.23